No. 1
DFT (PBE) results for crystalline Li2TlIn2 at its relaxed geometry.

abc: 7.9212 7.9212 3.5947
angles: 90.00 90.00 90.00
Space group P4/mbm (No. 127)
Symmetry-distinct sites (fractional):
Li1 0.1439 0.3561 0.0000 (multiplicity 4)
Tl1 0.0000 0.0000 0.0000 (multiplicity 2)
In1 0.1525 0.6525 0.5000 (multiplicity 4)

Properties
- Uncorrected energy: -2.482 eV/atom
- Formation energy from the elements: -0.148 eV per atom
- Crystal system: tetragonal

***

No. 2
DFT (PBE) results for crystalline Mn2CrRu at its relaxed geometry.

abc: 2.6488 3.5537 5.2452
angles: 90.00 90.00 90.00
Space group Pmm2 (No. 25)
Symmetry-distinct sites (fractional):
Mn1 0.0000 0.0000 0.0000 (multiplicity 1)
Mn2 0.5000 0.5000 0.2317 (multiplicity 1)
Cr1 0.5000 0.5000 0.7460 (multiplicity 1)
Ru1 0.0000 0.0000 0.5016 (multiplicity 1)

Properties
- Uncorrected energy: -9.197 eV/atom
- Formation energy from the elements: 0.112 eV per atom
- Crystal system: orthorhombic

***

No. 3
DFT (PBE) results for crystalline TaS2NO at its relaxed geometry.

abc: 4.8385 4.8385 3.9747
angles: 90.00 90.00 90.00
Space group P4/mmm (No. 123)
Symmetry-distinct sites (fractional):
Ta1 0.0000 0.0000 0.0000 (multiplicity 1)
S1 0.0000 0.5000 0.0000 (multiplicity 2)
N1 0.0000 0.0000 0.5000 (multiplicity 1)
O1 0.5000 0.5000 0.5000 (multiplicity 1)

Properties
- Uncorrected energy: -6.119 eV/atom
- Crystal system: tetragonal

***

No. 4
DFT (PBE) results for crystalline SiHgPPd2 at its relaxed geometry.

abc: 5.0778 5.0778 4.6381
angles: 90.00 90.00 90.00
Space group P4/mmm (No. 123)
Symmetry-distinct sites (fractional):
Si1 0.0000 0.0000 0.0000 (multiplicity 1)
Hg1 0.5000 0.5000 0.5000 (multiplicity 1)
P1 0.5000 0.5000 0.0000 (multiplicity 1)
Pd1 0.0000 0.5000 0.5000 (multiplicity 2)

Properties
- Uncorrected energy: -3.134 eV/atom
- Crystal system: tetragonal

***

No. 5
DFT (PBE) results for crystalline BaAgPb2 at its relaxed geometry.

abc: 5.3145 4.9046 5.3500
angles: 90.00 103.69 90.00
Space group P2/m (No. 10)
Symmetry-distinct sites (fractional):
Ba1 0.0000 0.0000 0.0000 (multiplicity 1)
Ag1 0.5000 0.0000 0.5000 (multiplicity 1)
Pb1 0.3106 0.5000 0.6892 (multiplicity 2)

Properties
- Uncorrected energy: -3.345 eV/atom
- Formation energy from the elements: -0.297 eV per atom
- Crystal system: monoclinic

***

No. 6
DFT (PBE) results for crystalline Mg2CdGa2 at its relaxed geometry.

abc: 4.2562 4.2562 12.1038
angles: 90.00 90.00 90.00
Space group I4/mmm (No. 139)
Symmetry-distinct sites (fractional):
Mg1 0.0000 0.5000 0.2500 (multiplicity 4)
Cd1 0.0000 0.0000 0.0000 (multiplicity 2)
Ga1 0.0000 0.0000 0.3998 (multiplicity 4)

Properties
- Uncorrected energy: -1.996 eV/atom
- Formation energy from the elements: 0.036 eV per atom
- Crystal system: tetragonal

***

Which of these has the lowest uncorrected energy?
Mn2CrRu